(1)
Compound: Tb6NdPd3
Source: Alexandria via LeMat-Bulk
Functional: GGA-PBE
Structure: optimized geometry

Summary:
uncorrected energy = -212.0 eV for the cell shown

Unit cell a=11.5328 b=13.2376 c=7.2463 alpha=90.00 beta=90.00 gamma=90.00
Space group Cmc2_1 (No. 36)
Asymmetric unit:
1 Tb 0.0000 0.0325 0.0000 [4 per cell]
2 Tb 0.0000 0.2323 0.3571 [4 per cell]
3 Tb 0.1702 0.4599 0.5063 [8 per cell]
4 Tb 0.2266 0.1924 0.6592 [8 per cell]
5 Nd 0.0000 0.3164 0.8748 [4 per cell]
6 Pd 0.0000 0.4281 0.2157 [4 per cell]
7 Pd 0.1864 0.1007 0.2926 [8 per cell]

---

(2)
Compound: Cu7P12S9Cl7
Source: Alexandria via LeMat-Bulk
Functional: GGA-PBE
Structure: optimized geometry

Summary:
uncorrected energy = -310.4 eV for the cell shown
energy relative to the elements, uncorrected = -0.33 eV/atom

Unit cell a=16.7891 b=16.7891 c=6.3883 alpha=90.00 beta=90.00 gamma=120.00
Space group P6_3mc (No. 186)
Asymmetric unit:
1 Cu 0.0785 0.1570 0.0000 [6 per cell]
2 Cu 0.0880 0.5440 0.5131 [6 per cell]
3 Cu 0.3333 0.6667 0.0587 [2 per cell]
4 P 0.1495 0.2990 0.8935 [6 per cell]
5 P 0.1683 0.4759 0.6349 [12 per cell]
6 P 0.2605 0.5209 0.9203 [6 per cell]
7 S 0.0719 0.3391 0.7053 [12 per cell]
8 S 0.2033 0.4066 0.1183 [6 per cell]
9 Cl 0.0590 0.5295 0.1577 [6 per cell]
10 Cl 0.0729 0.1457 0.3682 [6 per cell]
11 Cl 0.3333 0.6667 0.4136 [2 per cell]

---

(3)
Compound: CaPr2Pt
Source: Alexandria via LeMat-Bulk
Functional: GGA-PBE
Structure: optimized geometry

Summary:
uncorrected energy = -79.0 eV for the cell shown
polymorph energy (0 for the lowest one) = 22.9 meV per atom

Unit cell a=10.4987 b=6.8071 c=7.6554 alpha=90.00 beta=90.00 gamma=90.00
Space group Pbcm (No. 57)
Asymmetric unit:
1 Ca 0.1273 0.2360 0.2500 [4 per cell]
2 Pr 0.1925 0.7500 0.0000 [4 per cell]
3 Pr 0.4550 0.2500 0.0000 [4 per cell]
4 Pt 0.3539 0.5453 0.7500 [4 per cell]

---

(4)
Compound: TaTi2Ge
Source: Alexandria via LeMat-Bulk
Functional: GGA-PBE
Structure: optimized geometry

Summary:
uncorrected energy = -33.7 eV for the cell shown

Unit cell a=3.3488 b=3.3488 c=5.8919 alpha=90.00 beta=90.00 gamma=90.00
Space group P4/mmm (No. 123)
Asymmetric unit:
1 Ta 0.0000 0.0000 0.0000 [1 per cell]
2 Ti 0.5000 0.5000 0.2596 [2 per cell]
3 Ge 0.0000 0.0000 0.5000 [1 per cell]

---

(5)
Compound: KSe2O
Source: Alexandria via LeMat-Bulk
Functional: GGA-PBE
Structure: optimized geometry

Summary:
uncorrected energy = -32.5 eV for the cell shown
energy relative to the elements, uncorrected = 0.55 eV/atom

Unit cell a=3.2976 b=3.2976 c=27.4951 alpha=90.00 beta=90.00 gamma=120.00
Space group R-3m (No. 166, hexagonal axes)
Asymmetric unit:
1 K 0.0000 0.0000 0.0000 [3 per cell]
2 Se 0.0000 0.0000 0.1103 [6 per cell]
3 O 0.0000 0.0000 0.5000 [3 per cell]